(1)
First-principles (PBE-GGA) data for a relaxed structure of YZn2Si, as listed in Alexandria via LeMat-Bulk.

```
YZn2Si
1.0
4.701 0.000 0.000
0.000 4.940 0.000
0.000 0.000 6.481
Y Zn Si
2 4 2
Direct
0.000 0.000 0.000
0.500 0.500 0.000
0.000 0.000 0.512
0.000 0.500 0.314
0.500 0.000 0.314
0.500 0.500 0.512
0.000 0.500 0.711
0.500 0.000 0.711
```

Summary:
M_tot = 0.00 μB/cell
E_form (uncorrected) = -0.16 eV/atom

(2)
First-principles (PBE-GGA) data for a relaxed structure of AcTm2Pb, as listed in Alexandria via LeMat-Bulk.

```
AcTm2Pb
1.0
5.049 0.000 0.000
0.000 5.049 0.000
0.000 0.000 4.944
Ac Tm Pb
1 2 1
Direct
0.000 0.000 0.000
0.000 0.500 0.500
0.500 0.000 0.500
0.500 0.500 0.000
```

Summary:
M_tot = 0.05 μB/cell
ΔH_f (0 K) = -0.74 eV/f.u.
Relative energy among the computed polymorphs = 0.000 eV per atom

(3)
First-principles (PBE-GGA) data for a relaxed structure of CsSr3Cu4Br12, as listed in Alexandria via LeMat-Bulk.

```
CsSr3Cu4Br12
1.0
7.581 4.377 3.984
-7.581 4.377 3.984
0.000 -8.753 3.984
Cs Sr Cu Br
1 3 4 12
Direct
0.000 0.000 0.000
0.000 0.557 0.443
0.443 0.000 0.557
0.557 0.443 0.000
0.067 0.500 0.933
0.500 0.500 0.500
0.500 0.933 0.067
0.933 0.067 0.500
0.009 0.638 0.772
0.095 0.905 0.500
0.228 0.362 0.991
0.344 0.656 0.500
0.362 0.991 0.228
0.500 0.095 0.905
0.500 0.344 0.656
0.638 0.772 0.009
0.656 0.500 0.344
0.772 0.009 0.638
0.905 0.500 0.095
0.991 0.228 0.362
```

Summary:
M_tot = 1.17 μB/cell
E_form (uncorrected) = -1.23 eV/atom

(4)
First-principles (PBE-GGA) data for a relaxed structure of NbGaPd2, as listed in Alexandria via LeMat-Bulk.

```
NbGaPd2
1.0
7.100 0.000 0.000
0.000 7.100 0.000
0.000 0.000 5.491
Nb Ga Pd
4 4 8
Direct
0.000 0.000 0.000
0.000 0.500 0.250
0.500 0.000 0.750
0.500 0.500 0.500
0.000 0.000 0.500
0.000 0.500 0.750
0.500 0.000 0.250
0.500 0.500 0.000
0.235 0.750 0.625
0.250 0.235 0.375
0.250 0.265 0.875
0.265 0.750 0.125
0.735 0.250 0.125
0.750 0.735 0.875
0.750 0.765 0.375
0.765 0.250 0.625
```

Summary:
M_tot = 0.00 μB/cell
ΔH_f (0 K) = 0.00 eV/f.u.

(5)
First-principles (PBE-GGA) data for a relaxed structure of K2Tb3Te6, as listed in Alexandria via LeMat-Bulk.

```
K2Tb3Te6
1.0
3.790 -6.564 0.000
3.790 6.564 0.000
-2.528 0.000 8.603
K Tb Te
2 3 6
Direct
0.167 0.833 0.000
0.833 0.167 0.000
0.000 0.000 0.500
0.333 0.667 0.500
0.667 0.333 0.500
0.072 0.403 0.709
0.266 0.266 0.292
0.403 0.072 0.709
0.597 0.928 0.291
0.734 0.734 0.708
0.928 0.597 0.291
```

Summary:
M_tot = 0.00 μB/cell
E_form (uncorrected) = -1.30 eV/atom

(6)
First-principles (PBE-GGA) data for a relaxed structure of NaHW2, as listed in Alexandria via LeMat-Bulk.

```
NaHW2
1.0
5.688 0.000 0.000
0.000 5.688 0.000
0.000 0.000 8.078
Na H W
4 4 8
Direct
0.000 0.250 0.375
0.000 0.750 0.625
0.500 0.250 0.125
0.500 0.750 0.875
0.000 0.250 0.875
0.000 0.750 0.125
0.500 0.250 0.625
0.500 0.750 0.375
0.000 0.000 0.000
0.000 0.500 0.000
0.250 0.250 0.750
0.250 0.750 0.250
0.500 0.000 0.500
0.500 0.500 0.500
0.750 0.250 0.750
0.750 0.750 0.250
```

Summary:
M_tot = 0.00 μB/cell
Relative energy among the computed polymorphs = 0.000 eV per atom

(7)
First-principles (PBE-GGA) data for a relaxed structure of EuHoTm2, as listed in Alexandria via LeMat-Bulk.

```
EuHoTm2
1.0
3.563 0.000 0.000
0.000 3.563 0.000
0.000 0.000 10.231
Eu Ho Tm
1 1 2
Direct
0.000 0.000 0.000
0.000 0.000 0.500
0.500 0.500 0.266
0.500 0.500 0.734
```

Summary:
M_tot = 7.56 μB/cell
ΔH_f (0 K) = 0.28 eV/f.u.
Relative energy among the computed polymorphs = 0.000 eV per atom

(8)
First-principles (PBE-GGA) data for a relaxed structure of Al2PbBr, as listed in Alexandria via LeMat-Bulk.

```
Al2PbBr
1.0
13.174 0.000 0.000
0.000 3.282 0.000
-1.875 0.000 4.697
Al Pb Br
4 2 2
Direct
0.000 0.000 0.000
0.183 0.500 0.313
0.500 0.500 0.000
0.683 0.000 0.313
0.282 0.000 0.898
0.782 0.500 0.898
0.488 0.000 0.581
0.988 0.500 0.581
```

Summary:
M_tot = 0.00 μB/cell
E_form (uncorrected) = 0.05 eV/atom
Relative energy among the computed polymorphs = 0.135 eV per atom

(9)
First-principles (PBE-GGA) data for a relaxed structure of U2AlC, as listed in Alexandria via LeMat-Bulk.

```
U2AlC
1.0
3.052 0.000 0.000
-1.526 2.643 0.000
0.000 0.000 27.810
U Al C
6 3 3
Direct
0.000 0.000 0.111
0.000 0.000 0.889
0.333 0.667 0.555
0.333 0.667 0.778
0.667 0.333 0.222
0.667 0.333 0.445
0.000 0.000 0.000
0.333 0.667 0.667
0.667 0.333 0.333
0.000 0.000 0.500
0.333 0.667 0.167
0.667 0.333 0.833
```

Summary:
M_tot = 0.00 μB/cell
ΔH_f (0 K) = 0.77 eV/f.u.

(10)
First-principles (PBE-GGA) data for a relaxed structure of KRbCaBr4, as listed in Alexandria via LeMat-Bulk.

```
KRbCaBr4
1.0
5.689 0.000 0.000
0.000 5.689 0.000
0.000 0.000 17.161
K Rb Ca Br
2 2 2 8
Direct
0.000 0.000 0.000
0.500 0.500 0.500
0.000 0.000 0.281
0.500 0.500 0.781
0.000 0.000 0.641
0.500 0.500 0.141
0.000 0.000 0.475
0.000 0.000 0.810
0.000 0.500 0.139
0.000 0.500 0.639
0.500 0.000 0.139
0.500 0.000 0.639
0.500 0.500 0.310
0.500 0.500 0.975
```

Summary:
M_tot = 0.00 μB/cell
E_form (uncorrected) = -1.85 eV/atom

(11)
First-principles (PBE-GGA) data for a relaxed structure of NiMoIr, as listed in Alexandria via LeMat-Bulk.

```
NiMoIr
1.0
2.727 0.000 0.000
0.000 3.774 0.000
0.000 0.000 8.033
Ni Mo Ir
2 2 2
Direct
0.000 0.000 0.000
0.500 0.500 0.500
0.000 0.000 0.334
0.500 0.500 0.834
0.000 0.000 0.664
0.500 0.500 0.164
```

Summary:
M_tot = 0.00 μB/cell
ΔH_f (0 K) = -0.62 eV/f.u.
Relative energy among the computed polymorphs = 0.018 eV per atom

(12)
First-principles (PBE-GGA) data for a relaxed structure of YGaH3, as listed in Alexandria via LeMat-Bulk.

```
YGaH3
1.0
3.761 0.000 0.000
0.000 3.761 0.000
0.000 0.000 3.761
Y Ga H
1 1 3
Direct
0.000 0.000 0.000
0.500 0.500 0.500
0.000 0.500 0.500
0.500 0.000 0.500
0.500 0.500 0.000
```

Summary:
M_tot = 0.00 μB/cell
Relative energy among the computed polymorphs = 0.191 eV per atom